Entry one
Material: SiCl2F
Method: DFT, PBE-GGA
State: relaxed

Computed properties:
Its space-group type is I-42d, No. 122. The theoretical density is 1855 kg/m3.

Cell: 7.277 7.277 7.277 Å, 131.57 131.57 70.91°
Atoms (fractional coordinates):
Si 0.000 0.000 0.000
Si 0.750 0.250 0.500
Cl 0.024 0.625 0.899
Cl 0.375 0.274 0.399
Cl 0.726 0.125 0.101
Cl 0.875 0.976 0.601
F 0.250 0.750 0.500
F 0.500 0.500 0.000

Entry two
Material: SiCl2F
Method: DFT, PBE-GGA
State: relaxed

Computed properties:
Its space-group type is R-3m, No. 166. The theoretical density is 2379 kg/m3.

Cell: 7.927 7.927 7.927 Å, 25.68 25.68 25.68°
Atoms (fractional coordinates):
Si 0.000 0.000 0.000
Cl 0.402 0.402 0.402
Cl 0.598 0.598 0.598
F 0.500 0.500 0.500

Which of the structures shown above is the most stable? The most stable is entry one.